1.
# Na2LaAg2

A PBEsol-optimized structure of Na2LaAg2 (meta-GGA SCAN, Alexandria).

Structure (POSCAR):
```
Na2LaAg2
1.0
-2.085 2.085 7.264
2.085 -2.085 7.264
2.085 2.085 -7.264
Na La Ag
2 1 2
Direct
0.250 0.750 0.500
0.750 0.250 0.500
0.000 0.000 0.000
0.406 0.406 0.000
0.594 0.594 0.000
```

***

2.
# LaNbAg2

A PBEsol-optimized structure of LaNbAg2 (meta-GGA SCAN, Alexandria).

Structure (POSCAR):
```
LaNbAg2
1.0
0.000 3.527 3.527
3.527 0.000 3.527
3.527 3.527 0.000
La Nb Ag
1 1 2
Direct
0.000 0.000 0.000
0.500 0.500 0.500
0.250 0.250 0.250
0.750 0.750 0.750
```

***

Number 1: E -114.8 eV per cell, energy of formation -102 meV/atom. Number 2: E -138.0 eV per cell, energy of formation 244 meV/atom.